Y3TmIr8 | PBE | relaxed

* total magnetic moment: 0.000 μB/atom
* ΔH_f (0 K): -0.807 eV/atom
* raw total energy: -8.703 eV/atom

Lattice parameters (Å, degrees): 5.359 5.359 9.274 73.21 73.21 60.00
Sites, in units of the cell vectors:
Tm: 0.875 0.875 0.375
Ir: 0.188 0.188 0.437
Ir: 0.938 0.938 0.686
Ir: 0.437 0.937 0.189
Ir: 0.438 0.938 0.686
Ir: 0.937 0.437 0.189
Ir: 0.688 0.688 0.937
Ir: 0.437 0.437 0.189
Ir: 0.938 0.438 0.686
Y: 0.000 0.000 0.001
Y: 0.500 0.500 0.499
Y: 0.375 0.375 0.875


KTeAs2 | PBE | relaxed

* uncorrected formation energy: 190 meV/atom
* total magnetic moment: 0.000 μB/atom
* raw total energy: -3.194 eV/atom

Lattice parameters (Å, degrees): 6.042 6.042 3.035 90.00 90.00 115.19
Sites, in units of the cell vectors:
As: 0.500 0.500 0.000
As: 0.000 0.000 0.000
K: 0.500 0.000 0.500
Te: 0.000 0.500 0.500


RbTl2In2F6 | PBE | relaxed

* uncorrected formation energy: -2010 meV/atom
* total magnetic moment: 0.000 μB/atom
* raw total energy: -4.047 eV/atom

Lattice parameters (Å, degrees): 6.453 6.264 8.466 114.52 90.00 121.00
Sites, in units of the cell vectors:
F: 0.794 0.588 0.519
F: 0.861 0.169 0.786
F: 0.308 0.169 0.786
F: 0.692 0.831 0.214
F: 0.139 0.831 0.214
F: 0.206 0.412 0.481
Tl: 0.704 0.408 0.177
Tl: 0.296 0.592 0.823
In: 0.942 0.884 0.800
In: 0.058 0.116 0.200
Rb: 0.500 0.000 0.500


Cs2Ca3DyF12 | PBE | relaxed

* uncorrected formation energy: -3454 meV/atom
* total magnetic moment: 0.073 μB/atom
* raw total energy: -5.386 eV/atom

Lattice parameters (Å, degrees): 8.316 8.316 8.316 58.97 58.97 58.97
Sites, in units of the cell vectors:
Cs: 0.389 0.389 0.389
Cs: 0.611 0.611 0.611
F: 0.333 0.917 0.333
F: 0.667 0.083 0.667
F: 0.066 0.066 0.686
F: 0.917 0.333 0.333
F: 0.667 0.667 0.083
F: 0.066 0.686 0.066
F: 0.934 0.314 0.934
F: 0.686 0.066 0.066
F: 0.333 0.333 0.917
F: 0.083 0.667 0.667
F: 0.314 0.934 0.934
F: 0.934 0.934 0.314
Ca: 0.000 0.000 0.500
Ca: 0.000 0.500 0.000
Ca: 0.500 0.000 0.000
Dy: 0.000 0.000 0.000


Eu2PuTl | PBE | relaxed

* total magnetic moment: 2.055 μB/atom
* ΔH_f (0 K): 0.191 eV/atom
* raw total energy: -9.121 eV/atom
* energy relative to the lowest polymorph listed for this composition: 234.1 meV/atom

Lattice parameters (Å, degrees): 3.590 3.590 12.342 81.64 81.64 60.00
Sites, in units of the cell vectors:
Eu: 0.093 0.093 0.721
Eu: 0.907 0.907 0.279
Tl: 0.500 0.500 0.500
Pu: 0.000 0.000 0.000


GaCu5Si | PBE | relaxed

* uncorrected formation energy: -22 meV/atom
* total magnetic moment: 0.000 μB/atom
* raw total energy: -4.155 eV/atom
* energy relative to the lowest polymorph listed for this composition: 0.0 meV/atom

Lattice parameters (Å, degrees): 4.361 4.361 9.765 89.99 89.99 77.61
Sites, in units of the cell vectors:
Ga: 0.363 0.637 0.750
Ga: 0.637 0.363 0.250
Cu: 0.560 0.850 0.391
Cu: 0.150 0.440 0.109
Cu: 0.071 0.929 0.250
Cu: 0.850 0.560 0.609
Cu: 0.150 0.440 0.391
Cu: 0.560 0.850 0.109
Cu: 0.929 0.071 0.750
Cu: 0.440 0.150 0.891
Cu: 0.850 0.560 0.891
Cu: 0.440 0.150 0.609
Si: 0.000 0.000 0.500
Si: 0.000 0.000 0.000


Look up the total magnetic moment of the second one.
0.000 μB/atom